# 1
An optimized crystal structure of PaSbTe, computed with PBE-GGA.

a b c (Å): 7.173 7.173 7.173
angles (deg): 90.00 90.00 90.00
Space group F-43m (No. 216)
Asymmetric unit:
Pa  0.000  0.000  0.000 x4
Sb  0.000  0.000  0.500 x4
Te  0.250  0.250  0.250 x4

# 2
An optimized crystal structure of GdTm2Al2Zn3Cd, computed with PBE-GGA.

a b c (Å): 4.458 12.142 6.942
angles (deg): 90.00 90.00 90.00
Space group Amm2 (No. 38)
Asymmetric unit:
Gd  0.000  0.000  0.000 x2
Tm  0.000  0.217  0.354 x4
Al  0.500  0.168  0.069 x4
Zn  0.500  0.000  0.319 x2
Zn  0.500  0.125  0.693 x4
Cd  0.000  0.000  0.563 x2

# 3
An optimized crystal structure of RbDyB4, computed with PBE-GGA.

a b c (Å): 3.126 7.945 7.965
angles (deg): 90.00 90.00 90.00
Space group Immm (No. 71)
Asymmetric unit:
Rb  0.000  0.000  0.000 x2
Dy  0.000  0.500  0.000 x2
B  0.000  0.244  0.263 x8

# 4
An optimized crystal structure of Be2CoSi, computed with PBE-GGA.

a b c (Å): 5.320 5.320 5.320
angles (deg): 90.00 90.00 90.00
Space group F-43m (No. 216)
Asymmetric unit:
Be  0.000  0.000  0.000 x4
Be  0.250  0.250  0.250 x4
Co  0.250  0.250  0.750 x4
Si  0.000  0.000  0.500 x4

# 5
An optimized crystal structure of Dy3Y2Lu2Ni2Se2, computed with PBE-GGA.

a b c (Å): 3.795 15.027 9.273
angles (deg): 90.00 90.00 90.00
Space group Imm2 (No. 44)
Asymmetric unit:
Dy  0.000  0.000  0.000 x2
Dy  0.000  0.126  0.412 x4
Y  0.000  0.359  0.258 x4
Lu  0.000  0.317  0.616 x4
Ni  0.000  0.239  0.927 x4
Se  0.000  0.000  0.662 x2
Se  0.000  0.500  0.755 x2

# 6
An optimized crystal structure of MgAlW2, computed with PBE-GGA.

a b c (Å): 6.355 6.355 6.355
angles (deg): 90.00 90.00 90.00
Space group F-43m (No. 216)
Asymmetric unit:
Mg  0.000  0.000  0.000 x4
Al  0.250  0.250  0.750 x4
W  0.000  0.000  0.500 x4
W  0.250  0.250  0.250 x4

# 7
An optimized crystal structure of Zn2Pb, computed with PBE-GGA.

a b c (Å): 5.9088 5.9088 4.3086
angles (deg): 90.00 90.00 120.00
Space group P-62m (No. 189)
Asymmetric unit:
Zn  0.0000  0.0000  0.0000 x1
Zn  0.0000  0.2680  0.5000 x3
Pb  0.3333  0.6667  0.0000 x2

# 8
An optimized crystal structure of ZnPbSO, computed with PBE-GGA.

a b c (Å): 6.157 3.457 15.277
angles (deg): 90.00 90.00 90.00
Space group Pnma (No. 62)
Asymmetric unit:
Zn  0.190  0.250  0.081 x4
Pb  0.138  0.750  0.318 x4
S  0.191  0.750  0.933 x4
O  0.200  0.250  0.628 x4

# 9
An optimized crystal structure of Y3Nb3Re2N12, computed with PBE-GGA.

a b c (Å): 12.792 12.792 12.792
angles (deg): 90.00 90.00 90.00
Space group Ia-3d (No. 230)
Asymmetric unit:
Y  0.000  0.250  0.125 x24
Nb  0.000  0.250  0.375 x24
Re  0.000  0.000  0.000 x16
N  0.029  0.053  0.645 x96

# 10
An optimized crystal structure of TbPmGa, computed with PBE-GGA.

a b c (Å): 7.108 7.108 7.108
angles (deg): 90.00 90.00 90.00
Space group F-43m (No. 216)
Asymmetric unit:
Tb  0.000  0.000  0.000 x4
Pm  0.000  0.000  0.500 x4
Ga  0.250  0.250  0.750 x4

# 11
An optimized crystal structure of BeCdNiB, computed with PBE-GGA.

a b c (Å): 5.736 5.736 5.736
angles (deg): 90.00 90.00 90.00
Space group F-43m (No. 216)
Asymmetric unit:
Be  0.000  0.000  0.000 x4
Cd  0.000  0.000  0.500 x4
Ni  0.250  0.250  0.750 x4
B  0.250  0.250  0.250 x4

# 12
An optimized crystal structure of Gd2HoTl2Cd4, computed with PBE-GGA.

a b c (Å): 4.582 13.089 7.605
angles (deg): 90.00 90.00 90.00
Space group Amm2 (No. 38)
Asymmetric unit:
Gd  0.000  0.213  0.000 x4
Ho  0.000  0.000  0.360 x2
Tl  0.500  0.166  0.287 x4
Cd  0.000  0.000  0.784 x2
Cd  0.500  0.000  0.025 x2
Cd  0.500  0.120  0.666 x4

no.,VASP energy (eV per cell),ρ (g cm⁻³),volume (Å³/atom)
1,-67.8,8.64,30.762
2,-58.3,7.58,20.876
3,-62.2,4.89,16.487
4,-83.5,4.63,9.410
5,-125.9,8.10,24.039
6,-122.2,10.84,16.043
7,-11.5,8.62,21.714
8,-67.5,6.55,20.321
9,-1506.1,6.89,13.083
10,-52.5,6.91,29.930
11,-55.2,6.72,11.795
12,-50.5,9.74,25.341